Here is a relaxed structure of LuAlV from Alexandria. Energies are from PBE-GGA.

a = 4.7267 Å, b = 4.7267 Å, c = 2.8641 Å
α = 90.00°, β = 90.00°, γ = 120.00°
Space group P-6m2 (No. 187)
Asymmetric unit:
Lu (0.0000, 0.0000, 0.0000)
Al (0.6667, 0.3333, 0.5000)
V (0.3333, 0.6667, 0.0000)

- excess energy over the best structure of this formula in the dataset (kcal/mol of atoms) = 4.45
- E_form (eV per atom) = 0.1910
- final energy (eV/cell) = -16.81